Entry from Alexandria via LeMat-Bulk: a relaxed CaYGe3 crystal (GGA-PBE).

```
CaYGe3
1.0
-1.977 4.726 -0.778
-4.789 -1.963 0.246
-0.071 0.813 5.117
Ge Ca Y
3 1 1
direct
0.500 0.000 0.000
0.000 0.500 0.000
0.000 0.000 0.500
0.000 0.000 0.000
0.500 0.500 0.500
```

Values from the calculation:
* E above lowest polymorph: 1.663 eV/f.u.
* symmetry: Pm-3m, No. 221
* V: 27.82 Å³ per atom
* density of states at the Fermi level: 4.28 states/eV per cell
* formation energy: 0.480 eV/atom